[1]
Here is a geometry-optimized K2AgPd2 structure from the Alexandria database. Energies are from GGA-PBE.

For the size of the total moment, the calculation gives 0.0 μB/cell. As for the relative energy among the computed polymorphs: 83 meV/atom. The calculation puts the calculated formation energy at 0.071 eV/atom.

The structure belongs to space group P4/mbm (No. 127); the cell edges are 7.0333, 7.0333 and 5.1818 Å and the angles 90.00°, 90.00° and 90.00°. The asymmetric unit holds K at (0.1765, 0.3235, 0.0000), Ag at (0.0000, 0.0000, 0.5000) and Pd at (0.1334, 0.6334, 0.5000).

[2]
Here is a geometry-optimized Ni2HPd structure from the Alexandria database. Energies are from GGA-PBE.

For the size of the total moment, the calculation gives 2.6 μB/cell. As for the relative energy among the computed polymorphs: 134 meV/atom.

The structure belongs to space group I-42d (No. 122); the cell edges are 5.4196, 5.4196 and 5.7000 Å and the angles 90.00°, 90.00° and 90.00°. The asymmetric unit holds Ni at (0.1135, 0.7500, 0.1250), H at (0.0000, 0.0000, 0.0000) and Pd at (0.0000, 0.0000, 0.5000).

[3]
Here is a geometry-optimized MgCdAs2 structure from the Alexandria database. Energies are from GGA-PBE.

For the size of the total moment, the calculation gives 0.0 μB/cell. As for the relative energy among the computed polymorphs: 61 meV/atom. The calculation puts the calculated formation energy at -0.061 eV/atom.

The structure belongs to space group P2/m (No. 10); the cell edges are 3.7729, 3.7593 and 5.9689 Å and the angles 90.00°, 94.95° and 90.00°. The asymmetric unit holds Mg at (0.0000, 0.0000, 0.0000), Cd at (0.0000, 0.0000, 0.5000) and As at (0.4949, 0.5000, 0.7869).

[4]
Here is a geometry-optimized ErNpH2O6 structure from the Alexandria database. Energies are from GGA-PBE.

For the size of the total moment, the calculation gives 0.0 μB/cell. The raw total energy is -7.737 eV/atom.

The structure belongs to space group P-1 (No. 2); the cell edges are 5.2433, 5.4501 and 5.8971 Å and the angles 62.62°, 89.46° and 63.47°. The asymmetric unit holds Er at (0.0000, 0.0000, 0.0000), Np at (0.5000, 0.0000, 0.5000), H at (0.0862, 0.5251, 0.7398), O at (0.0883, 0.4991, 0.2507), O at (0.2737, 0.8617, 0.7346) and O at (0.3867, 0.8758, 0.2782).

[5]
Here is a geometry-optimized BeFeH structure from the Alexandria database. Energies are from GGA-PBE.

For the size of the total moment, the calculation gives 3.3 μB/cell. As for the relative energy among the computed polymorphs: 88 meV/atom.

The structure belongs to space group Pmn2_1 (No. 31); the cell edges are 2.5886, 3.6795 and 4.5342 Å and the angles 90.00°, 90.00° and 90.00°. The asymmetric unit holds Be at (0.0000, 0.0052, 0.0000), Fe at (0.0000, 0.4973, 0.3314) and H at (0.0000, 0.2850, 0.6619).

[6]
Here is a geometry-optimized Sc2Be2GeRu5 structure from the Alexandria database. Energies are from GGA-PBE.

For the size of the total moment, the calculation gives 0.0 μB/cell. The calculation puts the calculated formation energy at -0.418 eV/atom.

The structure belongs to space group P4/mbm (No. 127); the cell edges are 9.3901, 9.3901 and 3.1592 Å and the angles 90.00°, 90.00° and 90.00°. The asymmetric unit holds Sc at (0.1728, 0.3272, 0.0000), Be at (0.1252, 0.6252, 0.0000), Ge at (0.0000, 0.0000, 0.0000), Ru at (0.0000, 0.5000, 0.5000) and Ru at (0.0681, 0.7943, 0.5000).

[7]
Here is a geometry-optimized Y6P3SeS2 structure from the Alexandria database. Energies are from GGA-PBE.

For the size of the total moment, the calculation gives 0.0 μB/cell. Its formation energy from raw total energies is -1849 meV per atom.

The structure belongs to space group C2/m (No. 12); the cell edges are 17.4735, 3.9917 and 8.0188 Å and the angles 90.00°, 103.71° and 90.00°. The asymmetric unit holds Y at (0.0017, 0.0000, 0.2367), Y at (0.1649, 0.5000, 0.0884), Y at (0.1718, 0.5000, 0.5792), P at (0.0000, 0.5000, 0.0000), P at (0.1658, 0.0000, 0.3324), Se at (0.0000, 0.5000, 0.5000) and S at (0.1672, 0.0000, 0.8335).

[8]
Here is a geometry-optimized Cs5RbI5 structure from the Alexandria database. Energies are from GGA-PBE.

For the size of the total moment, the calculation gives 1.4 μB/cell. Its formation energy from raw total energies is -1374 meV per atom.

The structure belongs to space group C2/m (No. 12); the cell edges are 17.4393, 7.7870 and 11.0049 Å and the angles 90.00°, 108.67° and 90.00°. The asymmetric unit holds Cs at (0.0000, 0.0000, 0.0000), Cs at (0.1648, 0.5000, 0.3325), Cs at (0.1702, 0.5000, 0.8306), Rb at (0.0000, 0.0000, 0.5000), I at (0.0000, 0.5000, 0.5000), I at (0.1614, 0.0000, 0.3382) and I at (0.1639, 0.0000, 0.8268).